A relaxed structure of TcSbPO2, computed with GGA-PBE.

Values from the calculation:
- Final energy: -0.4336 Ry/atom
- Energy relative to the elements, uncorrected: 64 meV/atom
- Excess energy over the best structure of this formula in the dataset: 54.9 kJ per mole of atoms
- Space group: P4/mmm
- M_tot: 4.21 μB/cell

Cell: 3.9095 3.9095 5.4189 Å, 90.00 90.00 90.00°
Atoms (fractional coordinates):
1 Tc 0.0000 0.0000 0.0000
2 Sb 0.5000 0.5000 0.5000
3 P 0.5000 0.5000 0.0000
4 O 0.0000 0.5000 0.5000
5 O 0.5000 0.0000 0.5000